(1)
Material: MoPd3Pt
Method: DFT, PBE-GGA
State: optimized geometry

Its crystal system is orthorhombic. For the formation energy from the elements, the calculation gives 0.10 eV per atom. The value obtained for the energy above the most stable polymorph in this dataset is 0.00 eV per formula unit.

The structure belongs to space group Pmmn (No. 59, origin choice 2); the cell edges are 2.7494, 8.7479 and 7.1999 Å and the angles 90.00°, 90.00° and 90.00°. Symmetry generates all atoms from Mo at (0.2500, 0.2500, 0.0196), Pd at (0.2500, 0.5128, 0.8273), Pd at (0.2500, 0.7500, 0.3060) and Pt at (0.2500, 0.2500, 0.3704).

=====

(2)
Material: SrTmZnHg
Method: DFT, PBE-GGA
State: optimized geometry

Its crystal system is cubic. For the formation energy from the elements, the calculation gives -0.30 eV per atom.

The structure belongs to space group F-43m (No. 216); the cell edges are 7.5335, 7.5335 and 7.5335 Å and the angles 90.00°, 90.00° and 90.00°. Symmetry generates all atoms from Sr at (0.0000, 0.0000, 0.0000), Tm at (0.0000, 0.0000, 0.5000), Zn at (0.2500, 0.2500, 0.7500) and Hg at (0.2500, 0.2500, 0.2500).

=====

(3)
Material: YZrAl2
Method: DFT, PBE-GGA
State: optimized geometry

Its crystal system is tetragonal. For the formation energy from the elements, the calculation gives 0.06 eV per atom. The value obtained for the energy above the most stable polymorph in this dataset is 1.81 eV per formula unit.

The structure belongs to space group I-42d (No. 122); the cell edges are 7.8942, 7.8942 and 5.8971 Å and the angles 90.00°, 90.00° and 90.00°. Symmetry generates all atoms from Y at (0.0000, 0.0000, 0.0000), Zr at (0.0000, 0.0000, 0.5000) and Al at (0.2355, 0.2500, 0.6250).

=====

(4)
Material: Tb5Pr2Dy12
Method: DFT, PBE-GGA
State: optimized geometry

Its crystal system is monoclinic. For the formation energy from the elements, the calculation gives 0.13 eV per atom. The value obtained for the energy above the most stable polymorph in this dataset is 1.53 eV per formula unit.

The structure belongs to space group C2/m (No. 12); the cell edges are 15.7811, 9.2438 and 8.5645 Å and the angles 90.00°, 91.23° and 90.00°. Symmetry generates all atoms from Tb at (0.0000, 0.0000, 0.0000), Tb at (0.1987, 0.5000, 0.5107), Tb at (0.2313, 0.0000, 0.0751), Pr at (0.0000, 0.3165, 0.5000), Dy at (0.0583, 0.5000, 0.8313), Dy at (0.0918, 0.0000, 0.3823), Dy at (0.1266, 0.3089, 0.1544) and Dy at (0.1555, 0.1803, 0.7443).